1.
Here is an optimized crystal structure of CsRb2Ag2 from the Open Quantum Materials Database. Energies are from PBE.

Lattice parameters (Å, degrees): 8.4536 8.4536 8.4536 140.41 140.41 57.24
Element x y z (fractional)
Cs (0.0000, 0.0000, 0.0000)
Rb (0.2500, 0.7500, 0.5000)
Rb (0.7500, 0.2500, 0.5000)
Ag (0.4057, 0.4057, 0.0000)
Ag (0.5943, 0.5943, 0.0000)

Results
- Symmetry: I4/mmm (139)
- Density: 3.5 g/cm3
- E: -1.61 eV/atom


2.
Here is an optimized crystal structure of CsRb3Ag2Sb2 from the Open Quantum Materials Database. Energies are from PBE.

Lattice parameters (Å, degrees): 6.9793 6.7134 7.0666 90.00 106.10 90.00
Element x y z (fractional)
Cs (0.0000, 0.0000, 0.0000)
Rb (0.3070, 0.5000, 0.3111)
Rb (0.6584, 0.0000, 0.3377)
Rb (0.9676, 0.5000, 0.6479)
Ag (0.4799, 0.2505, 0.8244)
Ag (0.4799, 0.7495, 0.8244)
Sb (0.2343, 0.0000, 0.5654)
Sb (0.7316, 0.5000, 0.0790)

Results
- Symmetry: Pm (6)
- Density: 4.4 g/cm3
- E: -2.59 eV/atom


3.
Here is an optimized crystal structure of CsRbAgSb from the Open Quantum Materials Database. Energies are from PBE.

Lattice parameters (Å, degrees): 6.8065 7.1230 7.1230 106.89 90.00 90.00
Element x y z (fractional)
Cs (0.0000, 0.1698, 0.8302)
Cs (0.0000, 0.8302, 0.1698)
Rb (0.5000, 0.1414, 0.4784)
Rb (0.5000, 0.4784, 0.1414)
Ag (0.2506, 0.6522, 0.6522)
Ag (0.7494, 0.6522, 0.6522)
Sb (0.0000, 0.4017, 0.4017)
Sb (0.5000, 0.9035, 0.9035)

Results
- Polymorph energy (0 for the lowest one): 0.5 kJ per mole of atoms
- Symmetry: Amm2 (38)
- Density: 4.5 g/cm3
- E: -2.58 eV/atom


4.
Here is an optimized crystal structure of CsRbAgSb from the Open Quantum Materials Database. Energies are from PBE.

Lattice parameters (Å, degrees): 6.9915 6.7742 7.2438 90.00 106.98 90.00
Element x y z (fractional)
Cs (0.0246, 0.2500, 0.1730)
Cs (0.9754, 0.7500, 0.8270)
Rb (0.3196, 0.7500, 0.4929)
Rb (0.6804, 0.2500, 0.5071)
Ag (0.5000, 0.0000, 0.0000)
Ag (0.5000, 0.5000, 0.0000)
Sb (0.2621, 0.2500, 0.7379)
Sb (0.7379, 0.7500, 0.2621)

Results
- Polymorph energy (0 for the lowest one): 0.0 kJ per mole of atoms
- Symmetry: P2_1/m (11)
- Density: 4.5 g/cm3
- E: -2.59 eV/atom


5.
Here is an optimized crystal structure of Cs3Rb2AgSb2 from the Open Quantum Materials Database. Energies are from PBE.

Lattice parameters (Å, degrees): 10.6961 10.6961 10.6961 34.82 34.82 34.82
Element x y z (fractional)
Cs (0.0000, 0.0000, 0.0000)
Cs (0.1353, 0.1353, 0.1353)
Cs (0.8647, 0.8647, 0.8647)
Rb (0.2837, 0.2837, 0.2837)
Rb (0.7163, 0.7163, 0.7163)
Ag (0.5000, 0.5000, 0.5000)
Sb (0.4097, 0.4097, 0.4097)
Sb (0.5903, 0.5903, 0.5903)

Results
- Symmetry: R-3m (166)
- Density: 4.3 g/cm3
- E: -2.34 eV/atom


6.
Here is an optimized crystal structure of CsRbAg2Sb2 from the Open Quantum Materials Database. Energies are from PBE.

Lattice parameters (Å, degrees): 4.9462 4.9462 8.5068 90.00 90.00 90.00
Element x y z (fractional)
Cs (0.0000, 0.0000, 0.0000)
Rb (0.5000, 0.5000, 0.3321)
Ag (0.0000, 0.5000, 0.6534)
Ag (0.5000, 0.0000, 0.6534)
Sb (0.0000, 0.0000, 0.4852)
Sb (0.5000, 0.5000, 0.8215)

Results
- Symmetry: P4mm (99)
- Density: 5.4 g/cm3
- E: -2.83 eV/atom


7.
Here is an optimized crystal structure of CsRbAgSb from the Open Quantum Materials Database. Energies are from PBE.

Lattice parameters (Å, degrees): 6.8062 7.1155 7.1155 73.30 90.00 90.00
Element x y z (fractional)
Cs (0.2500, 0.1543, 0.8457)
Cs (0.7500, 0.8457, 0.1543)
Rb (0.2500, 0.4937, 0.1827)
Rb (0.7500, 0.1827, 0.4937)
Ag (0.0000, 0.6721, 0.6721)
Ag (0.5000, 0.6721, 0.6721)
Sb (0.2500, 0.9170, 0.4157)
Sb (0.7500, 0.4157, 0.9170)

Results
- Polymorph energy (0 for the lowest one): 0.4 kJ per mole of atoms
- Symmetry: Ama2 (40)
- Density: 4.5 g/cm3
- E: -2.58 eV/atom


8.
Here is an optimized crystal structure of Cs3RbAg2Sb2 from the Open Quantum Materials Database. Energies are from PBE.

Lattice parameters (Å, degrees): 7.1410 6.8566 7.1988 90.00 107.30 90.00
Element x y z (fractional)
Cs (0.0000, 0.0000, 0.0000)
Cs (0.0288, 0.5000, 0.3528)
Cs (0.6899, 0.5000, 0.6907)
Rb (0.3390, 0.0000, 0.6646)
Ag (0.5144, 0.2498, 0.1748)
Ag (0.5144, 0.7502, 0.1748)
Sb (0.2663, 0.5000, 0.9261)
Sb (0.7577, 0.0000, 0.4284)

Results
- Symmetry: Pm (6)
- Density: 4.7 g/cm3
- E: -2.57 eV/atom


9.
Here is an optimized crystal structure of CsRbAg2Se2 from the Open Quantum Materials Database. Energies are from PBE.

Lattice parameters (Å, degrees): 6.8360 5.6252 5.6252 78.11 90.00 90.00
Element x y z (fractional)
Cs (0.0000, 0.0000, 0.0000)
Rb (0.5000, 0.7375, 0.7375)
Ag (0.2503, 0.3746, 0.3746)
Ag (0.7497, 0.3746, 0.3746)
Se (0.0000, 0.5831, 0.5831)
Se (0.5000, 0.1663, 0.1663)

Results
- Symmetry: Amm2 (38)
- Density: 4.6 g/cm3
- E: -3.10 eV/atom


10.
Here is an optimized crystal structure of CsRbZrAg2Se4 from the Open Quantum Materials Database. Energies are from PBE.

Lattice parameters (Å, degrees): 6.3272 6.3131 7.8303 90.00 113.12 90.00
Element x y z (fractional)
Cs (0.0000, 0.0000, 0.0000)
Rb (0.5000, 0.4761, 0.0000)
Zr (0.5000, 0.7352, 0.5000)
Ag (0.0000, 0.7370, 0.5000)
Ag (0.5000, 0.2372, 0.5000)
Se (0.1635, 0.5041, 0.2885)
Se (0.3724, 0.9678, 0.7118)
Se (0.6276, 0.9678, 0.2882)
Se (0.8365, 0.5041, 0.7115)

Results
- Symmetry: P2 (3)
- Density: 4.9 g/cm3
- E: -4.33 eV/atom


11.
Here is an optimized crystal structure of CsRbTbAg2Te4 from the Open Quantum Materials Database. Energies are from PBE.

Lattice parameters (Å, degrees): 6.7625 6.7719 7.9712 90.00 114.80 90.00
Element x y z (fractional)
Cs (0.0000, 0.0000, 0.0000)
Rb (0.5000, 0.4815, 0.0000)
Tb (0.5000, 0.7399, 0.5000)
Ag (0.0000, 0.7407, 0.5000)
Ag (0.5000, 0.2402, 0.5000)
Te (0.1336, 0.4820, 0.2807)
Te (0.3511, 0.9982, 0.7199)
Te (0.6489, 0.9982, 0.2801)
Te (0.8664, 0.4820, 0.7193)

Results
- Symmetry: P2 (3)
- Density: 5.5 g/cm3
- E: -3.53 eV/atom


12.
Here is an optimized crystal structure of CsRbAg2Te2 from the Open Quantum Materials Database. Energies are from PBE.

Lattice parameters (Å, degrees): 4.8469 4.8469 10.6668 90.00 90.00 120.00
Element x y z (fractional)
Cs (0.0000, 0.0000, 0.0000)
Rb (0.0000, 0.0000, 0.5000)
Ag (0.3333, 0.6667, 0.7423)
Ag (0.6667, 0.3333, 0.2577)
Te (0.3333, 0.6667, 0.2603)
Te (0.6667, 0.3333, 0.7397)

Results
- Symmetry: P-3m1 (164)
- Density: 5.3 g/cm3
- E: -2.96 eV/atom